# 1
5
Lattice="-2.7232 1.9811 3.0768 -3.3681 -2.0085 -1.6878 0.6643 -3.5040 2.8440" Properties=species:S:1:pos:R:3 comment="PBE-GGA MgIrPdW2, relaxed" ef_ev_per_atom=2.103 pbc="T T T"
Mg 0.0000 0.0000 0.0000
Ir -2.7135 -1.7657 2.1165
Pd -1.6841 -1.0042 -0.8439
W 0.3321 -1.7520 1.4220
W -1.3616 0.9905 1.5384

# 2
20
Lattice="3.9612 0.0000 0.0000 0.0000 9.0394 0.0000 0.0000 0.0000 9.0394" Properties=species:S:1:pos:R:3 comment="PBE-GGA Mg2Zn5Ir2Pd, relaxed" ef_ev_per_atom=-0.306 pbc="T T T"
Mg 0.0000 6.0648 1.5451
Mg 0.0000 2.9746 7.4943
Mg 0.0000 1.5451 2.9746
Mg 0.0000 7.4943 6.0648
Zn 1.9806 1.7850 0.6468
Zn 1.9806 7.2544 8.3926
Zn 1.9806 0.6468 7.2544
Zn 1.9806 6.3047 3.8729
Zn 1.9806 8.3926 1.7850
Zn 1.9806 2.7347 5.1665
Zn 1.9806 5.1665 6.3047
Zn 1.9806 3.8729 2.7347
Zn 1.9806 4.5197 0.0000
Zn 1.9806 0.0000 4.5197
Ir 0.0000 1.1276 5.6473
Ir 0.0000 7.9118 3.3921
Ir 0.0000 5.6473 7.9118
Ir 0.0000 3.3921 1.1276
Pd 0.0000 0.0000 0.0000
Pd 0.0000 4.5197 4.5197

# 3
7
Lattice="4.2687 0.0000 0.0000 -2.1344 4.7811 -1.9363 0.0000 0.0274 7.5979" Properties=species:S:1:pos:R:3 comment="PBE-GGA Pm2Mg3Ir2, relaxed" ef_ev_per_atom=-0.522 e_above_lowest_polymorph_mev_per_atom=0.0 pbc="T T T"
Pm 2.1344 3.3705 0.2075
Pm 0.0000 1.4380 5.4541
Mg 2.1344 0.0000 0.0000
Mg 2.1344 1.3569 2.7832
Mg 0.0000 3.4516 2.8784
Ir 2.1344 3.3598 4.7526
Ir 0.0000 1.4487 0.9089

# 4
7
Lattice="4.3018 0.0000 0.0000 -2.1509 5.2043 0.0474 0.0000 -1.1357 7.0630" Properties=species:S:1:pos:R:3 comment="PBE-GGA Pm2Mg3Ir2, relaxed" ef_ev_per_atom=-0.460 e_above_lowest_polymorph_mev_per_atom=62.0 pbc="T T T"
Pm 2.1509 0.8982 2.6121
Pm 0.0000 3.1704 4.4984
Mg 0.0000 3.1386 0.9729
Mg 0.0000 0.0000 0.0000
Mg 2.1509 0.9300 6.1376
Ir 0.0000 0.2051 4.6512
Ir 2.1509 3.8635 2.4593

# 5
4
Lattice="3.3740 0.0000 0.0000 0.0000 3.3740 0.0000 0.0000 0.0000 6.5221" Properties=species:S:1:pos:R:3 comment="PBE-GGA PmMgIr2, relaxed" ef_ev_per_atom=-0.407 pbc="T T T"
Mg 1.6870 1.6870 0.0000
Ir 0.0000 0.0000 5.0813
Ir 0.0000 0.0000 1.4408
Pm 1.6870 1.6870 3.2610

# 6
12
Lattice="6.7446 0.0000 0.0000 0.0000 7.2084 0.0000 -3.3723 -3.6042 6.6764" Properties=species:S:1:pos:R:3 comment="PBE-GGA Pm3MgIr2, relaxed" ef_ev_per_atom=-0.561 pbc="T T T"
Pm 3.3723 1.8021 0.0000
Pm 3.3723 5.4063 0.0000
Pm 3.3723 -1.8021 3.6950
Pm 0.0000 1.8021 2.9814
Pm 0.0000 5.4063 2.9814
Pm 3.3723 1.8021 3.6950
Mg 0.0000 3.6042 0.0000
Mg 0.0000 0.0000 0.0000
Ir 1.4320 0.0000 4.8503
Ir 4.8043 0.0000 1.8261
Ir -1.4320 3.6042 4.8503
Ir 1.9403 3.6042 1.8261

# 7
4
Lattice="3.7125 0.0000 0.0000 0.0000 4.4739 0.0000 0.0000 0.0000 4.4739" Properties=species:S:1:pos:R:3 comment="PBE-GGA PmMgIr2, relaxed" ef_ev_per_atom=-0.404 pbc="T T T"
Mg 1.8562 0.0000 0.0000
Ir 0.0000 0.0000 2.2369
Ir 0.0000 2.2369 0.0000
Pm 1.8562 2.2369 2.2369

# 8
3
Lattice="4.7152 0.0000 0.0000 2.3576 4.0835 0.0000 2.3576 1.3612 3.8500" Properties=species:S:1:pos:R:3 comment="PBE-GGA PmMgIr, relaxed" ef_ev_per_atom=-0.441 e_above_lowest_polymorph_mev_per_atom=178.9 pbc="T T T"
Mg 4.7152 2.7223 1.9250
Ir 2.3576 1.3612 0.9625
Pm 0.0000 0.0000 0.0000

Taking the records one at a time from the top gives ρ values of 12.9, 8.9, 8.0, 7.8, 12.4, 8.6, 12.4, 8.1 Mg/m³.
Taking the records one at a time from the top gives volume values of 89, 324, 155, 158, 74, 325, 74, 74 Å³ per cell.